(1)
# LaPtSeBr2 (PBEsol, optimized geometry)
data_LaPtSeBr2
_chemical_formula_sum 'La1 Pt1 Se1 Br2'
_cell_length_a 5.5983
_cell_length_b 5.5983
_cell_length_c 5.8454
_cell_angle_alpha 90.00
_cell_angle_beta 90.00
_cell_angle_gamma 90.00
_symmetry_space_group_name_H-M 'P 4/m m m'
_symmetry_Int_Tables_number 123
_symmetry_space_group_name_Hall '-P 4 2'
loop_
_atom_site_label
_atom_site_type_symbol
_atom_site_fract_x
_atom_site_fract_y
_atom_site_fract_z
La1 La 0.0000 0.0000 0.0000
Pt1 Pt 0.5000 0.5000 0.5000
Se1 Se 0.0000 0.0000 0.5000
Br1 Br 0.0000 0.5000 0.0000
# - total moment (μB/cell) = 1.1

(2)
# Rb2LaBr5 (PBEsol, optimized geometry)
data_Rb2LaBr5
_chemical_formula_sum 'Rb8 La4 Br20'
_cell_length_a 13.6277
_cell_length_b 9.3321
_cell_length_c 8.5666
_cell_angle_alpha 90.00
_cell_angle_beta 90.00
_cell_angle_gamma 90.00
_symmetry_space_group_name_H-M 'P n m a'
_symmetry_Int_Tables_number 62
_symmetry_space_group_name_Hall '-P 2ac 2n'
loop_
_atom_site_label
_atom_site_type_symbol
_atom_site_fract_x
_atom_site_fract_y
_atom_site_fract_z
Rb1 Rb 0.1714 0.0062 0.0603
La1 La 0.0062 0.2500 0.5751
Br1 Br 0.0082 0.2500 0.9215
Br2 Br 0.0741 0.5449 0.6685
Br3 Br 0.1825 0.2500 0.3778
Br4 Br 0.2041 0.7500 0.3425
# - total moment (μB/cell) = 0.0

no.,formation energy without anion corrections (eV/atom)
1,0.000
2,-1.907